[1]
Compound: NdNiPdPt3
Source: OQMD via LeMat-Bulk
Functional: GGA-PBE
Structure: relaxed

mass density = 13.8 g/cm3
SG = No. 187
energy relative to the elements = -0.626 eV/atom

Structure (POSCAR):
```
NdNiPdPt3
1.0
-3.5470 2.1274 3.4376
-1.7271 -2.7410 -4.2928
0.0495 -3.6201 2.2916
Ni Nd Pd Pt
1 1 1 3
direct
0.3333 0.6667 0.0000
0.0000 0.0000 0.0000
0.6667 0.3333 0.0000
0.4975 0.9949 0.5000
0.0051 0.5025 0.5000
0.4975 0.5025 0.5000
```

[2]
Compound: NdNiSb2Pd
Source: OQMD via LeMat-Bulk
Functional: GGA-PBE
Structure: relaxed

mass density = 8.6 g/cm3
electronic total energy = -5.51 eV/atom
SG = No. 129

Structure (POSCAR):
```
NdNiSb2Pd
1.0
4.5960 0.0000 0.0000
0.0000 4.5960 0.0000
0.0000 0.0000 10.0857
Nd Sb Ni Pd
2 4 2 2
direct
0.5000 0.0000 0.7487
0.0000 0.5000 0.2513
0.0000 0.5000 0.6405
0.0000 0.0000 0.0000
0.5000 0.0000 0.3595
0.5000 0.5000 0.0000
0.5000 0.0000 0.1125
0.0000 0.5000 0.8875
0.0000 0.0000 0.5000
0.5000 0.5000 0.5000
```

[3]
Compound: Nd2NiSb4Pd
Source: OQMD via LeMat-Bulk
Functional: GGA-PBE
Structure: relaxed

mass density = 8.0 g/cm3
electronic total energy = -5.37 eV/atom
SG = No. 115

Structure (POSCAR):
```
Nd2NiSb4Pd
1.0
-1.8769 1.4340 -3.7759
-4.0200 -1.0662 1.5934
-0.8619 8.9943 3.8442
Sb Nd Ni Pd
4 2 1 1
direct
0.0000 0.0000 0.5000
0.0000 0.5000 0.8549
0.5000 0.0000 0.1451
0.5000 0.5000 0.5000
0.5000 0.0000 0.7557
0.0000 0.5000 0.2443
0.0000 0.0000 0.0000
0.5000 0.5000 0.0000
```

[4]
Compound: NdSi2NiPd
Source: OQMD via LeMat-Bulk
Functional: GGA-PBE
Structure: relaxed

mass density = 7.1 g/cm3
electronic total energy = -6.12 eV/atom
SG = No. 119

Structure (POSCAR):
```
NdSi2NiPd
1.0
2.2007 -4.9708 1.7927
-0.5229 -1.3480 5.5385
-3.3956 1.8232 -4.2322
Si Ni Nd Pd
2 1 1 1
direct
0.6239 0.6239 0.0000
0.3761 0.3761 0.0000
0.2500 0.7500 0.5000
0.0000 0.0000 0.0000
0.7500 0.2500 0.5000
```

[5]
Compound: Nd3Si4Ni2Pd2
Source: OQMD via LeMat-Bulk
Functional: GGA-PBE
Structure: relaxed

mass density = 7.0 g/cm3
electronic total energy = -6.10 eV/atom
SG = No. 71

Structure (POSCAR):
```
Nd3Si4Ni2Pd2
1.0
-1.0520 11.7331 4.0440
-6.3783 10.5221 1.9308
2.9551 -12.0948 -0.3299
Nd Pd Ni Si
3 2 2 4
direct
0.6525 0.1525 0.5000
0.0000 0.0000 0.0000
0.3475 0.8475 0.5000
0.1005 0.6005 0.5000
0.8995 0.3995 0.5000
0.7505 0.7505 0.0000
0.2495 0.2495 0.0000
0.5491 0.5491 0.0000
0.7968 0.2968 0.5000
0.4509 0.4509 0.0000
0.2032 0.7032 0.5000
```

[6]
Compound: Nd2SmSi4Ni2Pd2
Source: OQMD via LeMat-Bulk
Functional: GGA-PBE
Structure: relaxed

mass density = 7.1 g/cm3
electronic total energy = -6.10 eV/atom
SG = No. 71

Structure (POSCAR):
```
Nd2SmSi4Ni2Pd2
1.0
9.8867 5.3039 -5.4982
6.6658 9.8662 -3.7857
-6.8250 -7.6175 7.1763
Pd Ni Si Sm Nd
2 2 4 1 2
direct
0.9012 0.4012 0.5000
0.0988 0.5987 0.5000
0.7508 0.7508 0.0000
0.2492 0.2492 0.0000
0.4518 0.4518 0.0000
0.2033 0.7033 0.5000
0.5482 0.5482 0.0000
0.7967 0.2967 0.5000
0.0000 0.0000 0.0000
0.3485 0.8485 0.5000
0.6515 0.1515 0.5000
```

[7]
Compound: Nd3Ni2Sn3Pd
Source: OQMD via LeMat-Bulk
Functional: GGA-PBE
Structure: relaxed

mass density = 8.4 g/cm3
electronic total energy = -5.44 eV/atom
SG = No. 189

Structure (POSCAR):
```
Nd3Ni2Sn3Pd
1.0
7.4677 0.0000 0.0000
-3.7338 6.4672 0.0000
0.0000 0.0000 4.1493
Sn Pd Nd Ni
3 1 3 2
direct
0.0000 0.7413 0.5000
0.2587 0.2587 0.5000
0.7413 0.0000 0.5000
0.0000 0.0000 0.0000
0.5853 0.5853 0.0000
0.4147 0.0000 0.0000
0.0000 0.4147 0.0000
0.3333 0.6667 0.5000
0.6667 0.3333 0.5000
```

[8]
Compound: NdNiSn2Pd
Source: OQMD via LeMat-Bulk
Functional: GGA-PBE
Structure: relaxed

mass density = 8.4 g/cm3
electronic total energy = -5.35 eV/atom
SG = No. 129

Structure (POSCAR):
```
NdNiSn2Pd
1.0
4.4677 0.0000 0.0000
0.0000 4.4677 0.0000
0.0000 0.0000 10.8068
Sn Ni Nd Pd
4 2 2 2
direct
0.5000 0.0000 0.1135
0.0000 0.5000 0.8865
0.0000 0.0000 0.5000
0.5000 0.5000 0.5000
0.0000 0.0000 0.0000
0.5000 0.5000 0.0000
0.5000 0.0000 0.7696
0.0000 0.5000 0.2304
0.0000 0.5000 0.6435
0.5000 0.0000 0.3565
```